Entry 1:
The following is a DFT calculation (PBE-GGA) of an optimized crystal structure of CsNaNbBr6.

Lattice parameters (Å, degrees): 7.4319 7.4319 15.6962 90.00 90.00 120.00
Space group P-31c (No. 163)
Inequivalent atoms, fractional coordinates:
1 Cs 0.0000 0.0000 0.0000 x2
2 Na 0.3333 0.6667 0.2500 x2
3 Nb 0.3333 0.6667 0.7500 x2
4 Br 0.0395 0.3914 0.6534 x12

Computed properties:
uncorrected energy: -3.69 eV per atom
ΔE_f (raw): -1219 meV/atom



Entry 2:
The following is a DFT calculation (PBE-GGA) of an optimized crystal structure of MgTa3Tl.

Lattice parameters (Å, degrees): 4.767 4.767 4.767 90.00 90.00 90.00
Space group Pm-3m (No. 221)
Inequivalent atoms, fractional coordinates:
1 Mg 0.000 0.000 0.000 x1
2 Ta 0.000 0.000 0.500 x3
3 Tl 0.500 0.500 0.500 x1

Computed properties:
uncorrected energy: -6.13 eV per atom
ΔE_f: 171.4 kJ per mole of atoms
energy above the lowest structure with this stoichiometry: 0.000 eV per formula unit



Entry 3:
The following is a DFT calculation (PBE-GGA) of an optimized crystal structure of Tb6Pm2Sm.

Lattice parameters (Å, degrees): 16.700 10.380 3.508 90.00 102.05 90.00
Space group C2/m (No. 12)
Inequivalent atoms, fractional coordinates:
1 Tb 0.000 0.186 0.000 x4
2 Tb 0.177 0.333 0.679 x8
3 Pm 0.157 0.000 0.656 x4
4 Sm 0.000 0.500 0.500 x2

Computed properties:
uncorrected energy: -4.56 eV per atom
ΔE_f: 10.0 kJ per mole of atoms
energy above the lowest structure with this stoichiometry: 0.000 eV per formula unit



Entry 4:
The following is a DFT calculation (PBE-GGA) of an optimized crystal structure of La2TbCd.

Lattice parameters (Å, degrees): 7.999 7.999 7.999 90.00 90.00 90.00
Space group Fm-3m (No. 225)
Inequivalent atoms, fractional coordinates:
1 La 0.250 0.250 0.250 x8
2 Tb 0.000 0.000 0.000 x4
3 Cd 0.000 0.000 0.500 x4

Computed properties:
uncorrected energy: -3.91 eV per atom
ΔE_f: -5.7 kJ per mole of atoms
energy above the lowest structure with this stoichiometry: 0.388 eV per formula unit



Entry 5:
The following is a DFT calculation (PBE-GGA) of an optimized crystal structure of Na4Hf3PtS8.

Lattice parameters (Å, degrees): 13.308 7.193 7.941 90.00 121.68 90.00
Space group C2/m (No. 12)
Inequivalent atoms, fractional coordinates:
1 Na 0.000 0.000 0.000 x2
2 Na 0.000 0.500 0.000 x2
3 Na 0.250 0.250 0.000 x4
4 Hf 0.000 0.000 0.500 x2
5 Hf 0.250 0.250 0.500 x4
6 Pt 0.000 0.500 0.500 x2
7 S 0.017 0.266 0.299 x8
8 S 0.229 0.000 0.257 x4
9 S 0.232 0.000 0.717 x4

Computed properties:
uncorrected energy: -5.88 eV per atom
ΔE_f (raw): -1240 meV/atom



Entry 6:
The following is a DFT calculation (PBE-GGA) of an optimized crystal structure of CaTc2Ru.

Lattice parameters (Å, degrees): 3.246 3.246 7.019 90.00 90.00 90.00
Space group P4/mmm (No. 123)
Inequivalent atoms, fractional coordinates:
1 Ca 0.000 0.000 0.000 x1
2 Tc 0.500 0.500 0.321 x2
3 Ru 0.000 0.000 0.500 x1

Computed properties:
uncorrected energy: -7.49 eV per atom
ΔE_f: 49.6 kJ per mole of atoms
energy above the lowest structure with this stoichiometry: 0.610 eV per formula unit



Entry 7:
The following is a DFT calculation (PBE-GGA) of an optimized crystal structure of CaBeAl2Au5.

Lattice parameters (Å, degrees): 4.492 5.995 13.074 90.00 90.00 90.00
Space group Immm (No. 71)
Inequivalent atoms, fractional coordinates:
1 Ca 0.000 0.000 0.000 x2
2 Be 0.000 0.000 0.500 x2
3 Al 0.000 0.500 0.196 x4
4 Au 0.000 0.253 0.355 x8
5 Au 0.000 0.500 0.000 x2

Computed properties:
uncorrected energy: -3.64 eV per atom
ΔE_f: -34.1 kJ per mole of atoms



Entry 8:
The following is a DFT calculation (PBE-GGA) of an optimized crystal structure of Na2Sb2Se5.

Lattice parameters (Å, degrees): 15.908 5.809 5.936 90.00 105.25 90.00
Space group C2/m (No. 12)
Inequivalent atoms, fractional coordinates:
1 Na 0.128 0.000 0.396 x4
2 Sb 0.162 0.500 0.946 x4
3 Se 0.000 0.500 0.500 x2
4 Se 0.152 0.500 0.384 x4
5 Se 0.159 0.000 0.908 x4

Computed properties:
uncorrected energy: -3.62 eV per atom
energy above the lowest structure with this stoichiometry: 0.296 eV per formula unit
ΔE_f (raw): -475 meV/atom



Entry 9:
The following is a DFT calculation (PBE-GGA) of an optimized crystal structure of MgAg.

Lattice parameters (Å, degrees): 3.335 3.335 3.335 90.00 90.00 90.00
Space group Pm-3m (No. 221)
Inequivalent atoms, fractional coordinates:
1 Mg 0.000 0.000 0.000 x1
2 Ag 0.500 0.500 0.500 x1

Computed properties:
uncorrected energy: -2.47 eV per atom
ΔE_f: -23.5 kJ per mole of atoms



Entry 10:
The following is a DFT calculation (PBE-GGA) of an optimized crystal structure of KNb2Se4.

Lattice parameters (Å, degrees): 4.114 12.467 13.006 90.00 90.00 90.00
Space group Cmcm (No. 63)
Inequivalent atoms, fractional coordinates:
1 K 0.000 0.124 0.250 x4
2 Nb 0.000 0.386 0.059 x8
3 Se 0.000 0.000 0.000 x4
4 Se 0.000 0.255 0.601 x8
5 Se 0.000 0.427 0.250 x4

Computed properties:
uncorrected energy: -5.77 eV per atom
ΔE_f (raw): -749 meV/atom



Entry 11:
The following is a DFT calculation (PBE-GGA) of an optimized crystal structure of KAg4Bi.

Lattice parameters (Å, degrees): 8.192 8.192 8.192 90.00 90.00 90.00
Space group F-43m (No. 216)
Inequivalent atoms, fractional coordinates:
1 K 0.000 0.000 0.000 x4
2 Ag 0.125 0.125 0.375 x16
3 Bi 0.250 0.250 0.750 x4

Computed properties:
uncorrected energy: -2.76 eV per atom
ΔE_f: -3.0 kJ per mole of atoms



Entry 12:
The following is a DFT calculation (PBE-GGA) of an optimized crystal structure of NaAg.

Lattice parameters (Å, degrees): 9.056 7.469 5.582 90.00 90.00 90.00
Space group Cmcm (No. 63)
Inequivalent atoms, fractional coordinates:
1 Na 0.186 0.163 0.250 x8
2 Ag 0.000 0.170 0.750 x4
3 Ag 0.000 0.500 0.000 x4

Computed properties:
uncorrected energy: -2.11 eV per atom
ΔE_f: -2.8 kJ per mole of atoms



Entry 13:
The following is a DFT calculation (PBE-GGA) of an optimized crystal structure of NbHgF3.

Lattice parameters (Å, degrees): 4.565 4.565 4.565 90.00 90.00 90.00
Space group Pm-3m (No. 221)
Inequivalent atoms, fractional coordinates:
1 Nb 0.000 0.000 0.000 x1
2 Hg 0.500 0.500 0.500 x1
3 F 0.000 0.500 0.500 x3

Computed properties:
uncorrected energy: -3.66 eV per atom
energy above the lowest structure with this stoichiometry: 7.073 eV per formula unit
ΔE_f (raw): -467 meV/atom



Entry 14:
The following is a DFT calculation (PBE-GGA) of an optimized crystal structure of Sr3Pu3ScSe8.

Lattice parameters (Å, degrees): 8.4229 8.4229 21.4512 90.00 90.00 120.00
Space group R-3m (No. 166, hexagonal axes)
Inequivalent atoms, fractional coordinates:
1 Sr 0.0000 0.5000 0.0000 x9
2 Pu 0.0000 0.5000 0.5000 x9
3 Sc 0.0000 0.0000 0.5000 x3
4 Se 0.0000 0.0000 0.2448 x6
5 Se 0.0165 0.5082 0.2402 x18

Computed properties:
uncorrected energy: -7.21 eV per atom
ΔE_f (raw): -1731 meV/atom



Entry 15:
The following is a DFT calculation (PBE-GGA) of an optimized crystal structure of Ac2MgSb3Pt4.

Lattice parameters (Å, degrees): 4.643 4.643 10.906 90.00 90.00 90.00
Space group P-4m2 (No. 115)
Inequivalent atoms, fractional coordinates:
1 Ac 0.000 0.500 0.237 x2
2 Mg 0.000 0.000 0.500 x1
3 Sb 0.000 0.500 0.870 x2
4 Sb 0.500 0.500 0.500 x1
5 Pt 0.000 0.000 0.000 x1
6 Pt 0.000 0.500 0.627 x2
7 Pt 0.500 0.500 0.000 x1

Computed properties:
uncorrected energy: -5.58 eV per atom
ΔE_f (raw): -941 meV/atom



Entry 16:
The following is a DFT calculation (PBE-GGA) of an optimized crystal structure of AcMo2N4.

Lattice parameters (Å, degrees): 3.415 10.039 10.296 90.00 90.00 90.00
Space group Cmcm (No. 63)
Inequivalent atoms, fractional coordinates:
1 Ac 0.000 0.120 0.250 x4
2 Mo 0.000 0.382 0.055 x8
3 N 0.000 0.000 0.000 x4
4 N 0.000 0.260 0.598 x8
5 N 0.000 0.418 0.250 x4

Computed properties:
uncorrected energy: -9.01 eV per atom
ΔE_f (raw): -570 meV/atom



Entry 17:
The following is a DFT calculation (PBE-GGA) of an optimized crystal structure of Zr3N2O3.

Lattice parameters (Å, degrees): 4.086 10.758 10.758 90.00 90.00 90.00
Space group Cmcm (No. 63)
Inequivalent atoms, fractional coordinates:
1 Zr 0.000 0.144 0.057 x8
2 Zr 0.000 0.191 0.750 x4
3 N 0.000 0.299 0.579 x8
4 O 0.000 0.043 0.616 x8
5 O 0.000 0.247 0.250 x4

Computed properties:
uncorrected energy: -9.70 eV per atom
energy above the lowest structure with this stoichiometry: 0.016 eV per formula unit
ΔE_f (raw): -2554 meV/atom



Entry 18:
The following is a DFT calculation (PBE-GGA) of an optimized crystal structure of PmAgSeS.

Lattice parameters (Å, degrees): 6.998 6.998 6.998 90.00 90.00 90.00
Space group F-43m (No. 216)
Inequivalent atoms, fractional coordinates:
1 Pm 0.000 0.000 0.000 x4
2 Ag 0.000 0.000 0.500 x4
3 Se 0.250 0.250 0.750 x4
4 S 0.250 0.250 0.250 x4

Computed properties:
uncorrected energy: -4.86 eV per atom
energy above the lowest structure with this stoichiometry: 0.806 eV per formula unit
ΔE_f (raw): -1057 meV/atom



Entry 19:
The following is a DFT calculation (PBE-GGA) of an optimized crystal structure of ZnGa2Br6.

Lattice parameters (Å, degrees): 15.247 14.485 6.568 90.00 98.56 90.00
Space group C2/c (No. 15)
Inequivalent atoms, fractional coordinates:
1 Zn 0.000 0.001 0.250 x4
2 Ga 0.081 0.416 0.275 x8
3 Br 0.086 0.089 0.531 x8
4 Br 0.142 0.435 0.650 x8
5 Br 0.164 0.296 0.171 x8

Computed properties:
uncorrected energy: -2.72 eV per atom
energy above the lowest structure with this stoichiometry: 0.000 eV per formula unit
ΔE_f (raw): -789 meV/atom



Entry 20:
The following is a DFT calculation (PBE-GGA) of an optimized crystal structure of Ba2CdTe.

Lattice parameters (Å, degrees): 5.654 5.654 9.637 90.00 90.00 90.00
Space group I4/mmm (No. 139)
Inequivalent atoms, fractional coordinates:
1 Ba 0.000 0.500 0.250 x4
2 Cd 0.000 0.000 0.000 x2
3 Te 0.000 0.000 0.500 x2

Computed properties:
uncorrected energy: -2.76 eV per atom
energy above the lowest structure with this stoichiometry: 0.566 eV per formula unit
ΔE_f (raw): -784 meV/atom